## CePrTmHg (PBE)

Data for a relaxed structure of CePrTmHg.

The structure belongs to space group F-43m (No. 216); the cell edges are 7.6319, 7.6319 and 7.6319 Å and the angles 90.00°, 90.00° and 90.00°. The asymmetric unit holds Ce at (0.0000, 0.0000, 0.0000), Pr at (0.2500, 0.2500, 0.7500), Tm at (0.2500, 0.2500, 0.2500) and Hg at (0.0000, 0.0000, 0.5000).

The energy of formation from the pure elements is 0.02 eV/atom.


## SiIrRh2 (PBE)

Data for a relaxed structure of SiIrRh2.

The structure belongs to space group P4/mmm (No. 123); the cell edges are 4.5343, 4.5343 and 2.7450 Å and the angles 90.00°, 90.00° and 90.00°. The asymmetric unit holds Si at (0.0000, 0.0000, 0.0000), Ir at (0.5000, 0.5000, 0.0000) and Rh at (0.0000, 0.5000, 0.5000).

The formation energy from raw total energies comes out at -0.14 eV per atom.


## RbSrZn3 (PBE)

Data for a relaxed structure of RbSrZn3.

The structure belongs to space group Pm-3m (No. 221); the cell edges are 6.1547, 6.1547 and 6.1547 Å and the angles 90.00°, 90.00° and 90.00°. The asymmetric unit holds Rb at (0.0000, 0.0000, 0.0000), Sr at (0.5000, 0.5000, 0.5000) and Zn at (0.0000, 0.5000, 0.5000).

The energy of formation from the pure elements is 0.42 eV/atom. The energy above the most stable polymorph in this dataset comes out at 0.000 eV/atom.


## KTcIr (PBE)

Data for a relaxed structure of KTcIr.

The structure belongs to space group Imm2 (No. 44); the cell edges are 2.7437, 3.9398 and 12.4621 Å and the angles 90.00°, 90.00° and 90.00°. The asymmetric unit holds K at (0.0000, 0.0000, 0.0000), Tc at (0.0000, 0.0000, 0.7198) and Ir at (0.0000, 0.0000, 0.2901).

The energy of formation from the pure elements is 0.55 eV/atom. The energy above the most stable polymorph in this dataset comes out at 0.000 eV/atom.


## Ca2Nd4Sm (PBE)

Data for a relaxed structure of Ca2Nd4Sm.

The structure belongs to space group Immm (No. 71); the cell edges are 3.5948, 5.9600 and 23.9258 Å and the angles 90.00°, 90.00° and 90.00°. The asymmetric unit holds Ca at (0.0000, 0.0000, 0.2210), Nd at (0.0000, 0.5000, 0.1307), Nd at (0.0000, 0.5000, 0.4201) and Sm at (0.0000, 0.0000, 0.5000).

The energy of formation from the pure elements is 0.11 eV/atom. The energy above the most stable polymorph in this dataset comes out at 0.000 eV/atom.


## OsSe2SBr (PBE)

Data for a relaxed structure of OsSe2SBr.

The structure belongs to space group P4/mmm (No. 123); the cell edges are 4.8568, 4.8568 and 4.9588 Å and the angles 90.00°, 90.00° and 90.00°. The asymmetric unit holds Os at (0.0000, 0.0000, 0.0000), Se at (0.0000, 0.5000, 0.5000), S at (0.5000, 0.5000, 0.5000) and Br at (0.5000, 0.5000, 0.0000).

The formation energy from raw total energies comes out at 1.54 eV per atom. The energy above the most stable polymorph in this dataset comes out at 0.722 eV/atom.


## YInHg2H (PBE)

Data for a relaxed structure of YInHg2H.

The structure belongs to space group P4/mmm (No. 123); the cell edges are 4.9356, 4.9356 and 4.2423 Å and the angles 90.00°, 90.00° and 90.00°. The asymmetric unit holds Y at (0.0000, 0.0000, 0.0000), In at (0.5000, 0.5000, 0.0000), Hg at (0.0000, 0.5000, 0.5000) and H at (0.0000, 0.0000, 0.5000).

The value obtained for the final energy is -2.86 eV per atom.


## Nd4AuBr5 (PBE)

Data for a relaxed structure of Nd4AuBr5.

The structure belongs to space group C2/m (No. 12); the cell edges are 18.8327, 4.1511 and 8.9092 Å and the angles 90.00°, 102.84° and 90.00°. The asymmetric unit holds Nd at (0.0028, 0.0000, 0.2320), Nd at (0.1588, 0.5000, 0.0779), Au at (0.0000, 0.5000, 0.0000), Br at (0.0000, 0.5000, 0.5000), Br at (0.1686, 0.0000, 0.3276) and Br at (0.1702, 0.0000, 0.8303).

The formation energy from raw total energies comes out at -1.42 eV per atom.


## SrMnTc2Sn (PBE)

Data for a relaxed structure of SrMnTc2Sn.

The structure belongs to space group P4/mmm (No. 123); the cell edges are 4.9989, 4.9989 and 5.7455 Å and the angles 90.00°, 90.00° and 90.00°. The asymmetric unit holds Sr at (0.0000, 0.0000, 0.0000), Mn at (0.5000, 0.5000, 0.0000), Tc at (0.0000, 0.5000, 0.5000) and Sn at (0.0000, 0.0000, 0.5000).

The energy of formation from the pure elements is 2.14 eV/atom. The energy above the most stable polymorph in this dataset comes out at 0.000 eV/atom.


## Li2Si4Pt3Rh (PBE)

Data for a relaxed structure of Li2Si4Pt3Rh.

The structure belongs to space group P-4m2 (No. 115); the cell edges are 3.9872, 3.9872 and 10.1956 Å and the angles 90.00°, 90.00° and 90.00°. The asymmetric unit holds Li at (0.0000, 0.5000, 0.2430), Si at (0.0000, 0.0000, 0.5000), Si at (0.0000, 0.5000, 0.8681), Si at (0.5000, 0.5000, 0.5000), Pt at (0.0000, 0.0000, 0.0000), Pt at (0.0000, 0.5000, 0.6354) and Rh at (0.5000, 0.5000, 0.0000).

The formation energy from raw total energies comes out at -0.72 eV per atom.


## TbCuNiGe2 (PBE)

Data for a relaxed structure of TbCuNiGe2.

The structure belongs to space group I-4m2 (No. 119); the cell edges are 4.0708, 4.0708 and 10.0703 Å and the angles 90.00°, 90.00° and 90.00°. The asymmetric unit holds Tb at (0.0000, 0.0000, 0.0000), Cu at (0.0000, 0.5000, 0.7500), Ni at (0.0000, 0.5000, 0.2500) and Ge at (0.0000, 0.0000, 0.3762).

The energy of formation from the pure elements is -0.60 eV/atom.


## Nd4GaSe2Cl (PBE)

Data for a relaxed structure of Nd4GaSe2Cl.

The structure belongs to space group P2/m (No. 10); the cell edges are 7.3492, 4.2067 and 7.3868 Å and the angles 90.00°, 108.91° and 90.00°. The asymmetric unit holds Nd at (0.2433, 0.0000, 0.2335), Nd at (0.2516, 0.5000, 0.7569), Ga at (0.5000, 0.0000, 0.0000), Se at (0.0000, 0.0000, 0.5000), Se at (0.0000, 0.5000, 0.0000) and Cl at (0.5000, 0.5000, 0.5000).

The formation energy from raw total energies comes out at -1.44 eV per atom.


## Rb2Pr2PaS6 (PBE)

Data for a relaxed structure of Rb2Pr2PaS6.

The structure belongs to space group C2/m (No. 12); the cell edges are 7.2537, 12.4574 and 8.2372 Å and the angles 90.00°, 107.22° and 90.00°. The asymmetric unit holds Rb at (0.0000, 0.1694, 0.0000), Pr at (0.0000, 0.3342, 0.5000), Pa at (0.0000, 0.0000, 0.5000), S at (0.2220, 0.1601, 0.6900) and S at (0.2500, 0.0000, 0.3101).

The formation energy from raw total energies comes out at -1.77 eV per atom.


## CeHf2Os (PBE)

Data for a relaxed structure of CeHf2Os.

The structure belongs to space group R-3m (No. 166, hexagonal axes); the cell edges are 3.0824, 3.0824 and 30.8132 Å and the angles 90.00°, 90.00° and 120.00°. The asymmetric unit holds Ce at (0.0000, 0.0000, 0.0000), Hf at (0.0000, 0.0000, 0.0981) and Os at (0.0000, 0.0000, 0.5000).

The energy of formation from the pure elements is 0.15 eV/atom. The energy above the most stable polymorph in this dataset comes out at 0.396 eV/atom.


## La2Pr2Y5 (PBE)

Data for a relaxed structure of La2Pr2Y5.

The structure belongs to space group C2/m (No. 12); the cell edges are 17.9181, 3.5198 and 10.0166 Å and the angles 90.00°, 98.89° and 90.00°. The asymmetric unit holds La at (0.1642, 0.0000, 0.2215), Pr at (0.0043, 0.5000, 0.6872), Y at (0.0000, 0.0000, 0.0000), Y at (0.1708, 0.5000, 0.5419) and Y at (0.1732, 0.0000, 0.8667).

The energy of formation from the pure elements is 0.14 eV/atom. The energy above the most stable polymorph in this dataset comes out at 0.000 eV/atom.


## LuPuNiIr (PBE)

Data for a relaxed structure of LuPuNiIr.

The structure belongs to space group F-43m (No. 216); the cell edges are 6.7452, 6.7452 and 6.7452 Å and the angles 90.00°, 90.00° and 90.00°. The asymmetric unit holds Lu at (0.0000, 0.0000, 0.0000), Pu at (0.0000, 0.0000, 0.5000), Ni at (0.2500, 0.2500, 0.7500) and Ir at (0.2500, 0.2500, 0.2500).

The energy of formation from the pure elements is -0.48 eV/atom.


## Ca4Sb2H (PBE)

Data for a relaxed structure of Ca4Sb2H.

The structure belongs to space group C2/m (No. 12); the cell edges are 12.5809, 4.5235 and 7.7933 Å and the angles 90.00°, 117.14° and 90.00°. The asymmetric unit holds Ca at (0.0607, 0.0000, 0.3426), Ca at (0.1647, 0.5000, 0.0819), Sb at (0.1626, 0.5000, 0.6755) and H at (0.0000, 0.0000, 0.0000).

The energy above the most stable polymorph in this dataset comes out at 0.195 eV/atom.


## Mg2ZnSnCl (PBE)

Data for a relaxed structure of Mg2ZnSnCl.

The structure belongs to space group P4/mmm (No. 123); the cell edges are 5.0519, 5.0519 and 5.4297 Å and the angles 90.00°, 90.00° and 90.00°. The asymmetric unit holds Mg at (0.0000, 0.5000, 0.0000), Zn at (0.0000, 0.0000, 0.0000), Sn at (0.5000, 0.5000, 0.5000) and Cl at (0.0000, 0.0000, 0.5000).

The formation energy from raw total energies comes out at 0.19 eV per atom.


## MgZnTe2 (PBE)

Data for a relaxed structure of MgZnTe2.

The structure belongs to space group Pc (No. 7); the cell edges are 4.4657, 7.7936 and 7.3537 Å and the angles 90.00°, 90.03° and 90.00°. The asymmetric unit holds Mg at (0.0000, 0.1698, 0.0000), Zn at (0.4974, 0.3368, 0.4991), Te at (0.4995, 0.3441, 0.8643) and Te at (0.9977, 0.1750, 0.3836).

The formation energy from raw total energies comes out at -0.66 eV per atom.


## Li3NiSn6 (PBE)

Data for a relaxed structure of Li3NiSn6.

The structure belongs to space group P2_1/c (No. 14); the cell edges are 7.2115, 7.2167 and 10.1157 Å and the angles 90.00°, 121.86° and 90.00°. The asymmetric unit holds Li at (0.0000, 0.0000, 0.0000), Li at (0.2143, 0.1747, 0.7773), Ni at (0.5000, 0.0000, 0.5000), Sn at (0.1311, 0.1238, 0.4650), Sn at (0.2679, 0.7033, 0.3987) and Sn at (0.4494, 0.0420, 0.2252).

The energy of formation from the pure elements is -0.17 eV/atom.


Sequential N(E_F) output: 35.7 5.0 4.2 5.8 21.5 4.9 1.3 8.3 10.1 1.8 5.4 4.4 4.5 16.8 32.8 43.2 4.7 2.9 0.0 7.6 states/eV per cell